*w*
## TbSmMg (PBE-GGA)

Data for a relaxed TbSmMg crystal.

Cell and atoms, written as CIF:
```
data_TbSmMg
_symmetry_space_group_name_H-M 'C m c m'
_symmetry_Int_Tables_number 63
_symmetry_space_group_name_Hall '-C 2c 2'
_cell_length_a 5.174
_cell_length_b 13.358
_cell_length_c 5.175
_cell_angle_alpha 90.00
_cell_angle_beta 90.00
_cell_angle_gamma 90.00
loop_
_atom_site_label
_atom_site_type_symbol
_atom_site_fract_x
_atom_site_fract_y
_atom_site_fract_z
Tb1 Tb 0.000 0.090 0.250
Sm1 Sm 0.000 0.410 0.250
Mg1 Mg 0.000 0.250 0.750
```

Results
M_tot (Bohr magnetons per cell): 0.0
N(E_F) (states/eV/cell): 16.79
Crystal system: orthorhombic

=====

*x*
## TbSmMg (PBE-GGA)

Data for a relaxed TbSmMg crystal.

Cell and atoms, written as CIF:
```
data_TbSmMg
_symmetry_space_group_name_H-M 'R 3 m'
_symmetry_Int_Tables_number 160
_symmetry_space_group_name_Hall 'R 3 -2"'
_cell_length_a 5.7557
_cell_length_b 5.7557
_cell_length_c 9.7192
_cell_angle_alpha 90.00
_cell_angle_beta 90.00
_cell_angle_gamma 120.00
loop_
_atom_site_label
_atom_site_type_symbol
_atom_site_fract_x
_atom_site_fract_y
_atom_site_fract_z
Tb1 Tb 0.0000 0.0000 0.0000
Sm1 Sm 0.0000 0.0000 0.3699
Mg1 Mg 0.0000 0.0000 0.6866
```

Results
M_tot (Bohr magnetons per cell): 0.0
N(E_F) (states/eV/cell): 16.76
Crystal system: trigonal

=====

*y*
## TbSmMg (PBE-GGA)

Data for a relaxed TbSmMg crystal.

Cell and atoms, written as CIF:
```
data_TbSmMg
_symmetry_space_group_name_H-M 'C 1 2/m 1'
_symmetry_Int_Tables_number 12
_cell_length_a 17.214
_cell_length_b 3.769
_cell_length_c 5.509
_cell_angle_alpha 90.00
_cell_angle_beta 90.91
_cell_angle_gamma 90.00
loop_
_symmetry_equiv_pos_as_xyz
'x,y,z'
'-x,-y,-z'
'-x,y,-z'
'x,-y,z'
'x+1/2,y+1/2,z'
'-x+1/2,-y+1/2,-z'
'-x+1/2,y+1/2,-z'
'x+1/2,-y+1/2,z'
loop_
_atom_site_label
_atom_site_type_symbol
_atom_site_fract_x
_atom_site_fract_y
_atom_site_fract_z
Tb1 Tb 0.090 0.000 0.240
Sm1 Sm 0.227 0.000 0.749
Mg1 Mg 0.067 0.500 0.740
```

Results
M_tot (Bohr magnetons per cell): 0.0
N(E_F) (states/eV/cell): 13.17
Crystal system: monoclinic

=====

Sorted by energy, starting with the most stable: *y*, *w*, *x*.

=====

*w*
## Tb4Sm5Mg2 (PBE-GGA)

Data for a relaxed Tb4Sm5Mg2 crystal.

Cell and atoms, written as CIF:
```
data_Tb4Sm5Mg2
_symmetry_space_group_name_H-M 'C 1 2/m 1'
_symmetry_Int_Tables_number 12
_cell_length_a 22.483
_cell_length_b 3.540
_cell_length_c 8.788
_cell_angle_alpha 90.00
_cell_angle_beta 93.76
_cell_angle_gamma 90.00
loop_
_symmetry_equiv_pos_as_xyz
'x,y,z'
'-x,-y,-z'
'-x,y,-z'
'x,-y,z'
'x+1/2,y+1/2,z'
'-x+1/2,-y+1/2,-z'
'-x+1/2,y+1/2,-z'
'x+1/2,-y+1/2,z'
loop_
_atom_site_label
_atom_site_type_symbol
_atom_site_fract_x
_atom_site_fract_y
_atom_site_fract_z
Tb1 Tb 0.073 0.000 0.218
Tb2 Tb 0.211 0.500 0.321
Sm1 Sm 0.000 0.500 0.500
Sm2 Sm 0.132 0.000 0.598
Sm3 Sm 0.183 0.000 0.974
Mg1 Mg 0.054 0.500 0.879
```

Results
M_tot (Bohr magnetons per cell): 0.0
N(E_F) (states/eV/cell): 31.26
Crystal system: monoclinic

=====

*x*
## Tb4Sm5Mg2 (PBE-GGA)

Data for a relaxed Tb4Sm5Mg2 crystal.

Cell and atoms, written as CIF:
```
data_Tb4Sm5Mg2
_symmetry_space_group_name_H-M 'P 1 2/m 1'
_symmetry_Int_Tables_number 10
_cell_length_a 8.718
_cell_length_b 3.476
_cell_length_c 11.469
_cell_angle_alpha 90.00
_cell_angle_beta 93.90
_cell_angle_gamma 90.00
loop_
_symmetry_equiv_pos_as_xyz
'x,y,z'
'-x,-y,-z'
'-x,y,-z'
'x,-y,z'
loop_
_atom_site_label
_atom_site_type_symbol
_atom_site_fract_x
_atom_site_fract_y
_atom_site_fract_z
Tb1 Tb 0.149 0.000 0.387
Tb2 Tb 0.283 0.000 0.951
Sm1 Sm 0.204 0.500 0.667
Sm2 Sm 0.431 0.500 0.204
Sm3 Sm 0.500 0.500 0.500
Mg1 Mg 0.054 0.500 0.132
```

Results
M_tot (Bohr magnetons per cell): 0.0
N(E_F) (states/eV/cell): 16.12
Crystal system: monoclinic

=====

Sorted by energy, starting with the most stable: *w*, *x*.

=====

*w*
## Tb2Sm7Mg2 (PBE-GGA)

Data for a relaxed Tb2Sm7Mg2 crystal.

Cell and atoms, written as CIF:
```
data_Tb2Sm7Mg2
_symmetry_space_group_name_H-M 'C 1 2/m 1'
_symmetry_Int_Tables_number 12
_cell_length_a 11.833
_cell_length_b 11.148
_cell_length_c 5.809
_cell_angle_alpha 90.00
_cell_angle_beta 111.63
_cell_angle_gamma 90.00
loop_
_symmetry_equiv_pos_as_xyz
'x,y,z'
'-x,-y,-z'
'-x,y,-z'
'x,-y,z'
'x+1/2,y+1/2,z'
'-x+1/2,-y+1/2,-z'
'-x+1/2,y+1/2,-z'
'x+1/2,-y+1/2,z'
loop_
_atom_site_label
_atom_site_type_symbol
_atom_site_fract_x
_atom_site_fract_y
_atom_site_fract_z
Tb1 Tb 0.000 0.221 0.000
Sm1 Sm 0.000 0.000 0.500
Sm2 Sm 0.192 0.208 0.686
Sm3 Sm 0.231 0.000 0.162
Mg1 Mg 0.062 0.500 0.281
```

Results
M_tot (Bohr magnetons per cell): 0.0
N(E_F) (states/eV/cell): 26.12
Crystal system: monoclinic

=====

*x*
## Tb2Sm7Mg2 (PBE-GGA)

Data for a relaxed Tb2Sm7Mg2 crystal.

Cell and atoms, written as CIF:
```
data_Tb2Sm7Mg2
_symmetry_space_group_name_H-M 'C 1 2/m 1'
_symmetry_Int_Tables_number 12
_cell_length_a 8.926
_cell_length_b 9.694
_cell_length_c 8.580
_cell_angle_alpha 90.00
_cell_angle_beta 107.94
_cell_angle_gamma 90.00
loop_
_symmetry_equiv_pos_as_xyz
'x,y,z'
'-x,-y,-z'
'-x,y,-z'
'x,-y,z'
'x+1/2,y+1/2,z'
'-x+1/2,-y+1/2,-z'
'-x+1/2,y+1/2,-z'
'x+1/2,-y+1/2,z'
loop_
_atom_site_label
_atom_site_type_symbol
_atom_site_fract_x
_atom_site_fract_y
_atom_site_fract_z
Tb1 Tb 0.000 0.177 0.000
Sm1 Sm 0.000 0.500 0.500
Sm2 Sm 0.141 0.500 0.916
Sm3 Sm 0.206 0.179 0.681
Mg1 Mg 0.116 0.000 0.335
```

Results
M_tot (Bohr magnetons per cell): 0.0
N(E_F) (states/eV/cell): 32.09
Crystal system: monoclinic

=====

Sorted by energy, starting with the most stable: *x*, *w*.

=====

*w*
## Tb4Sm2Mg (PBE-GGA)

Data for a relaxed Tb4Sm2Mg crystal.

Cell and atoms, written as CIF:
```
data_Tb4Sm2Mg
_symmetry_space_group_name_H-M 'P 1 21/m 1'
_symmetry_Int_Tables_number 11
_cell_length_a 6.047
_cell_length_b 6.566
_cell_length_c 11.529
_cell_angle_alpha 90.00
_cell_angle_beta 105.10
_cell_angle_gamma 90.00
loop_
_symmetry_equiv_pos_as_xyz
'x,y,z'
'-x,-y,-z'
'-x,y+1/2,-z'
'x,-y+1/2,z'
loop_
_atom_site_label
_atom_site_type_symbol
_atom_site_fract_x
_atom_site_fract_y
_atom_site_fract_z
Tb1 Tb 0.025 0.250 0.376
Tb2 Tb 0.146 0.250 0.941
Tb3 Tb 0.356 0.000 0.214
Sm1 Sm 0.282 0.750 0.924
Sm2 Sm 0.397 0.750 0.496
Mg1 Mg 0.154 0.250 0.667
```

Results
M_tot (Bohr magnetons per cell): 0.0
N(E_F) (states/eV/cell): 18.24
Crystal system: monoclinic

=====

*x*
## Tb4Sm2Mg (PBE-GGA)

Data for a relaxed Tb4Sm2Mg crystal.

Cell and atoms, written as CIF:
```
data_Tb4Sm2Mg
_symmetry_space_group_name_H-M 'C 1 2 1'
_symmetry_Int_Tables_number 5
_cell_length_a 22.173
_cell_length_b 5.683
_cell_length_c 3.524
_cell_angle_alpha 90.00
_cell_angle_beta 91.60
_cell_angle_gamma 90.00
loop_
_symmetry_equiv_pos_as_xyz
'x,y,z'
'-x,y,-z'
'x+1/2,y+1/2,z'
'-x+1/2,y+1/2,-z'
loop_
_atom_site_label
_atom_site_type_symbol
_atom_site_fract_x
_atom_site_fract_y
_atom_site_fract_z
Tb1 Tb 0.074 0.000 0.243
Tb2 Tb 0.134 0.500 0.696
Sm1 Sm 0.223 0.000 0.760
Mg1 Mg 0.000 0.501 0.000
```

Results
M_tot (Bohr magnetons per cell): 0.0
N(E_F) (states/eV/cell): 19.84
Crystal system: monoclinic

=====

Sorted by energy, starting with the most stable: *x*, *w*.

=====

*w*
## TbSm6Mg (PBE-GGA)

Data for a relaxed TbSm6Mg crystal.

Cell and atoms, written as CIF:
```
data_TbSm6Mg
_symmetry_space_group_name_H-M 'P 4/m m m'
_symmetry_Int_Tables_number 123
_symmetry_space_group_name_Hall '-P 4 2'
_cell_length_a 5.037
_cell_length_b 5.037
_cell_length_c 10.146
_cell_angle_alpha 90.00
_cell_angle_beta 90.00
_cell_angle_gamma 90.00
loop_
_atom_site_label
_atom_site_type_symbol
_atom_site_fract_x
_atom_site_fract_y
_atom_site_fract_z
Tb1 Tb 0.000 0.000 0.000
Sm1 Sm 0.000 0.500 0.253
Sm2 Sm 0.500 0.500 0.000
Sm3 Sm 0.500 0.500 0.500
Mg1 Mg 0.000 0.000 0.500
```

Results
M_tot (Bohr magnetons per cell): 0.0
N(E_F) (states/eV/cell): 10.93
Crystal system: tetragonal

=====

*x*
## TbSm6Mg (PBE-GGA)

Data for a relaxed TbSm6Mg crystal.

Cell and atoms, written as CIF:
```
data_TbSm6Mg
_symmetry_space_group_name_H-M 'P -1'
_symmetry_Int_Tables_number 2
_cell_length_a 6.432
_cell_length_b 6.433
_cell_length_c 6.433
_cell_angle_alpha 96.27
_cell_angle_beta 96.31
_cell_angle_gamma 96.37
loop_
_symmetry_equiv_pos_as_xyz
'x,y,z'
'-x,-y,-z'
loop_
_atom_site_label
_atom_site_type_symbol
_atom_site_fract_x
_atom_site_fract_y
_atom_site_fract_z
Tb1 Tb 0.000 0.000 0.000
Sm1 Sm 0.029 0.260 0.553
Sm2 Sm 0.260 0.553 0.030
Sm3 Sm 0.447 0.971 0.740
Mg1 Mg 0.500 0.500 0.500
```

Results
M_tot (Bohr magnetons per cell): 0.0
N(E_F) (states/eV/cell): 12.35
Crystal system: triclinic

=====

Sorted by energy, starting with the most stable: *w*, *x*.

=====

*w*
## TbSm6Mg2 (PBE-GGA)

Data for a relaxed TbSm6Mg2 crystal.

Cell and atoms, written as CIF:
```
data_TbSm6Mg2
_symmetry_space_group_name_H-M 'C 1 2/c 1'
_symmetry_Int_Tables_number 15
_cell_length_a 15.075
_cell_length_b 12.106
_cell_length_c 6.373
_cell_angle_alpha 90.00
_cell_angle_beta 100.39
_cell_angle_gamma 90.00
loop_
_symmetry_equiv_pos_as_xyz
'x,y,z'
'-x,-y,-z'
'-x,y,-z+1/2'
'x,-y,z+1/2'
'x+1/2,y+1/2,z'
'-x+1/2,-y+1/2,-z'
'-x+1/2,y+1/2,-z+1/2'
'x+1/2,-y+1/2,z+1/2'
loop_
_atom_site_label
_atom_site_type_symbol
_atom_site_fract_x
_atom_site_fract_y
_atom_site_fract_z
Tb1 Tb 0.000 0.130 0.250
Sm1 Sm 0.030 0.364 0.523
Sm2 Sm 0.116 0.102 0.776
Sm3 Sm 0.195 0.249 0.238
Mg1 Mg 0.192 0.479 0.897
```

Results
M_tot (Bohr magnetons per cell): 0.0
N(E_F) (states/eV/cell): 44.66
Crystal system: monoclinic

=====

*x*
## TbSm6Mg2 (PBE-GGA)

Data for a relaxed TbSm6Mg2 crystal.

Cell and atoms, written as CIF:
```
data_TbSm6Mg2
_symmetry_space_group_name_H-M 'C 2 2 2'
_symmetry_Int_Tables_number 21
_cell_length_a 6.111
_cell_length_b 10.546
_cell_length_c 8.748
_cell_angle_alpha 90.00
_cell_angle_beta 90.00
_cell_angle_gamma 90.00
loop_
_symmetry_equiv_pos_as_xyz
'x,y,z'
'-x,-y,z'
'x,-y,-z'
'-x,y,-z'
'x+1/2,y+1/2,z'
'-x+1/2,-y+1/2,z'
'x+1/2,-y+1/2,-z'
'-x+1/2,y+1/2,-z'
loop_
_atom_site_label
_atom_site_type_symbol
_atom_site_fract_x
_atom_site_fract_y
_atom_site_fract_z
Tb1 Tb 0.000 0.000 0.000
Sm1 Sm 0.000 0.327 0.000
Sm2 Sm 0.244 0.085 0.337
Mg1 Mg 0.250 0.250 0.671
```

Results
M_tot (Bohr magnetons per cell): 0.0
N(E_F) (states/eV/cell): 23.71
Crystal system: orthorhombic

=====

Sorted by energy, starting with the most stable: *x*, *w*.